Entry 1:
A plane-wave DFT calculation with PBE-GGA was carried out for a geometry-optimized VFePd3 structure.

```
5
Lattice="-3.202 -0.160 3.252 1.602 -4.048 1.379 2.835 2.108 2.894" Properties=species:S:1:pos:R:3 pbc="T T T"
Pd -1.601 -0.080 1.626
Pd 0.801 -2.024 0.689
Pd 1.417 1.054 1.447
Fe 0.000 0.000 0.000
V 0.618 -1.050 3.763
```

Values from the calculation:
- E_tot: -28.8 eV per formula unit
- Volume: 19.1 Å³/atom

Entry 2:
A plane-wave DFT calculation with PBE-GGA was carried out for a geometry-optimized V7Fe6Pd16 structure.

```
29
Lattice="1.252 2.659 7.075 8.301 -2.073 3.458 7.634 5.110 0.877" Properties=species:S:1:pos:R:3 pbc="T T T"
V 4.150 -1.036 1.729
V 4.776 0.293 5.267
V 3.817 2.555 0.439
V 4.443 3.884 3.976
V 0.000 0.000 0.000
V 0.626 1.329 3.538
V 7.968 1.518 2.168
Pd 10.289 4.690 4.713
Pd 14.391 3.659 6.467
Pd 6.565 4.595 5.408
Pd 6.898 1.005 6.698
Pd 11.245 2.445 9.536
Pd 10.622 1.101 6.003
Pd 15.011 4.977 9.974
Pd 2.796 2.036 4.944
Pd 10.768 3.560 7.126
Pd 10.914 6.005 8.256
Pd 2.176 0.718 1.437
Pd 6.273 -0.310 3.155
Pd 7.045 3.464 7.821
Pd 10.142 2.231 3.590
Pd 5.942 3.251 1.875
Pd 6.419 2.135 4.285
Fe 8.116 3.974 3.302
Fe 9.071 1.722 8.109
Fe 8.739 5.297 6.824
Fe 8.448 0.399 4.587
Fe 4.939 2.754 6.387
Fe 12.249 2.942 5.023
```

Values from the calculation:
- E_tot: -198.4 eV per formula unit
- Volume: 15.1 Å³/atom

Entry 3:
A plane-wave DFT calculation with PBE-GGA was carried out for a geometry-optimized VFe6Pd12 structure.

```
19
Lattice="-0.668 -6.236 1.845 -1.266 -1.841 -6.143 6.334 -1.168 -1.116" Properties=species:S:1:pos:R:3 pbc="T T T"
Fe 0.062 -6.516 -4.400
Fe 3.715 -6.883 -0.804
Fe 4.522 -4.037 -5.007
Fe -0.122 -5.208 -0.407
Fe 4.339 -2.729 -1.014
Fe 0.685 -2.363 -4.610
V 0.000 0.000 0.000
Pd 2.064 -4.796 -4.725
Pd 0.221 -4.195 -2.843
Pd 0.695 -2.512 0.363
Pd 1.530 -6.488 -2.269
Pd -0.419 -1.658 -2.000
Pd 3.706 -6.733 -5.777
Pd 2.870 -2.757 -3.145
Pd 2.117 -0.857 -1.307
Pd 2.283 -8.388 -4.107
Pd 4.180 -5.050 -2.571
Pd 4.820 -7.587 -3.414
Pd 2.336 -4.449 -0.689
```

Values from the calculation:
- E_tot: -122.9 eV per formula unit
- Volume: 14.7 Å³/atom

Entry 4:
A plane-wave DFT calculation with PBE-GGA was carried out for a geometry-optimized VFePd3 structure.

```
20
Lattice="7.275 -0.589 -0.676 -1.881 6.492 0.681 -1.881 -0.217 6.524" Properties=species:S:1:pos:R:3 pbc="T T T"
Pd -1.428 6.264 2.431
Pd 5.660 0.896 1.986
Pd 1.303 4.432 0.328
Pd 0.295 5.917 4.842
Pd -2.147 4.790 4.543
Pd -0.420 1.997 0.341
Pd 3.932 3.689 6.188
Pd 2.209 1.254 6.201
Pd 2.023 2.138 1.498
Pd 4.941 -0.578 4.098
Pd 3.218 -0.231 1.687
Pd 1.490 3.548 5.031
V -0.062 3.828 2.703
V -0.062 0.071 5.976
V 3.575 5.615 0.554
V 3.575 1.858 3.826
Fe -0.919 2.499 4.892
Fe 4.432 3.187 1.637
Fe 2.718 4.208 2.809
Fe 0.794 1.478 3.720
```

Values from the calculation:
- E_tot: -33.5 eV per formula unit
- Volume: 14.7 Å³/atom

Entry 5:
A plane-wave DFT calculation with PBE-GGA was carried out for a geometry-optimized VFe2Pd2 structure.

```
10
Lattice="6.029 0.000 0.000 0.000 6.029 0.000 0.000 0.000 3.854" Properties=species:S:1:pos:R:3 pbc="T T T"
Pd 5.021 2.007 1.927
Pd 4.022 5.021 1.927
Pd 2.007 1.008 1.927
Pd 1.008 4.022 1.927
Fe 0.808 2.206 0.000
Fe 3.823 0.808 0.000
Fe 5.220 3.823 0.000
Fe 2.206 5.220 0.000
V 3.014 3.014 0.000
V 0.000 0.000 0.000
```

Values from the calculation:
- E_tot: -35.9 eV per formula unit
- Volume: 14.0 Å³/atom

Entry 6:
A plane-wave DFT calculation with PBE-GGA was carried out for a geometry-optimized VFePd3 structure.

```
5
Lattice="-2.084 -0.704 3.998 3.860 -1.734 1.706 1.256 4.161 1.388" Properties=species:S:1:pos:R:3 pbc="T T T"
V 0.000 0.000 0.000
Pd -1.042 -0.352 1.999
Pd 0.628 2.081 0.694
Pd 1.930 -0.867 0.853
Fe 1.516 0.861 3.546
```

Values from the calculation:
- E_tot: -28.3 eV per formula unit
- Volume: 19.0 Å³/atom

Entry 7:
A plane-wave DFT calculation with PBE-GGA was carried out for a geometry-optimized V2FePd6 structure.

```
9
Lattice="-2.288 2.069 -2.407 1.536 -5.162 -2.717 -5.143 1.519 6.195" Properties=species:S:1:pos:R:3 pbc="T T T"
Pd -4.291 1.165 5.081
Pd -1.604 -2.739 -4.010
Pd -2.305 -2.043 0.436
Pd -1.848 -0.173 -1.572
Pd -4.047 -1.401 2.643
Pd -3.590 0.468 0.635
Fe -2.571 0.759 3.097
V -0.691 -2.551 -1.535
V -5.203 0.976 2.606
```

Values from the calculation:
- E_tot: -59.9 eV per formula unit
- Volume: 14.6 Å³/atom

Entry 8:
A plane-wave DFT calculation with PBE-GGA was carried out for a geometry-optimized V2FePd8 structure.

```
11
Lattice="3.787 0.000 -1.008 -0.414 5.970 -1.556 -0.102 -0.122 7.230" Properties=species:S:1:pos:R:3 pbc="T T T"
Pd 1.110 0.421 4.169
Pd 2.061 2.706 0.127
Pd 2.160 5.427 0.497
Pd 0.434 1.143 1.628
Pd 3.415 1.481 5.211
Pd 1.209 3.143 4.539
Pd 2.837 4.706 3.038
Pd -0.145 4.368 -0.545
V 0.533 3.805 2.000
V 2.738 2.043 2.666
Fe 1.893 0.000 -0.504
```

Values from the calculation:
- E_tot: -70.1 eV per formula unit
- Volume: 14.7 Å³/atom

> The highest E_tot belongs to which entry?

number 6